1.
VASP calculation (GGA-PBE) on a geometry-optimized Pm2Sc2Bi2P structure.

Calculated density: 7.07 Mg/m³
Total DFT energy (no corrections): -83.53 eV/cell
Magnetization: 0.00 μB per formula unit

a b c (Å): 4.856 4.856 16.509
angles (deg): 90.00 90.00 90.00
Space group I4/mmm (No. 139)
Symmetry-distinct sites (fractional):
Pm: 0.000 0.000 0.169 (multiplicity 4)
Sc: 0.000 0.500 0.000 (multiplicity 4)
Bi: 0.000 0.000 0.367 (multiplicity 4)
P: 0.000 0.000 0.000 (multiplicity 2)

2.
VASP calculation (GGA-PBE) on a geometry-optimized Pm6BiP2Se3 structure.

Calculated density: 7.02 Mg/m³
Total DFT energy (no corrections): -146.31 eV/cell
Magnetization: 0.00 μB per formula unit

a b c (Å): 18.526 4.222 8.553
angles (deg): 90.00 103.17 90.00
Space group C2/m (No. 12)
Symmetry-distinct sites (fractional):
Pm: 0.009 0.000 0.268 (multiplicity 4)
Pm: 0.173 0.500 0.574 (multiplicity 4)
Pm: 0.174 0.500 0.108 (multiplicity 4)
Bi: 0.000 0.500 0.000 (multiplicity 2)
P: 0.169 0.000 0.337 (multiplicity 4)
Se: 0.000 0.500 0.500 (multiplicity 2)
Se: 0.163 0.000 0.834 (multiplicity 4)

3.
VASP calculation (GGA-PBE) on a geometry-optimized Pm4Bi2PSe structure.

Calculated density: 7.80 Mg/m³
Total DFT energy (no corrections): -46.15 eV/cell
Magnetization: 0.00 μB per formula unit

a b c (Å): 7.536 4.346 7.623
angles (deg): 90.00 109.12 90.00
Space group P2/m (No. 10)
Symmetry-distinct sites (fractional):
Pm: 0.234 0.000 0.224 (multiplicity 2)
Pm: 0.248 0.500 0.772 (multiplicity 2)
Bi: 0.000 0.000 0.500 (multiplicity 1)
Bi: 0.500 0.500 0.500 (multiplicity 1)
P: 0.000 0.500 0.000 (multiplicity 1)
Se: 0.500 0.000 0.000 (multiplicity 1)

4.
VASP calculation (GGA-PBE) on a geometry-optimized Pm4BiPSe2 structure.

Calculated density: 7.28 Mg/m³
Total DFT energy (no corrections): -47.58 eV/cell
Magnetization: 0.00 μB per formula unit

a b c (Å): 7.364 4.268 7.521
angles (deg): 90.00 109.38 90.00
Space group P2/m (No. 10)
Symmetry-distinct sites (fractional):
Pm: 0.241 0.000 0.229 (multiplicity 2)
Pm: 0.253 0.500 0.773 (multiplicity 2)
Bi: 0.000 0.000 0.500 (multiplicity 1)
P: 0.000 0.500 0.000 (multiplicity 1)
Se: 0.500 0.000 0.000 (multiplicity 1)
Se: 0.500 0.500 0.500 (multiplicity 1)

5.
VASP calculation (GGA-PBE) on a geometry-optimized Pm4BiTe2P structure.

Calculated density: 7.30 Mg/m³
Total DFT energy (no corrections): -45.43 eV/cell
Magnetization: 0.00 μB per formula unit

a b c (Å): 7.689 4.372 7.695
angles (deg): 90.00 109.01 90.00
Space group P2/m (No. 10)
Symmetry-distinct sites (fractional):
Pm: 0.221 0.000 0.221 (multiplicity 2)
Pm: 0.232 0.500 0.767 (multiplicity 2)
Bi: 0.000 0.000 0.500 (multiplicity 1)
Te: 0.500 0.000 0.000 (multiplicity 1)
Te: 0.500 0.500 0.500 (multiplicity 1)
P: 0.000 0.500 0.000 (multiplicity 1)

6.
VASP calculation (GGA-PBE) on a geometry-optimized Pm6Bi3TeP2 structure.

Calculated density: 7.70 Mg/m³
Total DFT energy (no corrections): -137.37 eV/cell
Magnetization: 0.00 μB per formula unit

a b c (Å): 19.228 4.381 8.882
angles (deg): 90.00 103.57 90.00
Space group C2/m (No. 12)
Symmetry-distinct sites (fractional):
Pm: 0.012 0.000 0.258 (multiplicity 4)
Pm: 0.171 0.500 0.108 (multiplicity 4)
Pm: 0.174 0.500 0.568 (multiplicity 4)
Bi: 0.000 0.500 0.500 (multiplicity 2)
Bi: 0.161 0.000 0.832 (multiplicity 4)
Te: 0.000 0.500 0.000 (multiplicity 2)
P: 0.169 0.000 0.336 (multiplicity 4)

7.
VASP calculation (GGA-PBE) on a geometry-optimized Pr2BiP structure.

Calculated density: 7.04 Mg/m³
Total DFT energy (no corrections): -69.93 eV/cell
Magnetization: 0.00 μB per formula unit

a b c (Å): 4.3107 4.3107 22.9567
angles (deg): 90.00 90.00 120.00
Space group R3m (No. 160, hexagonal axes)
Symmetry-distinct sites (fractional):
Pr: 0.0000 0.0000 0.0000 (multiplicity 3)
Pr: 0.0000 0.0000 0.1901 (multiplicity 3)
Bi: 0.0000 0.0000 0.7624 (multiplicity 3)
P: 0.0000 0.0000 0.5936 (multiplicity 3)

8.
VASP calculation (GGA-PBE) on a geometry-optimized Pr6BiP4 structure.

Calculated density: 6.15 Mg/m³
Total DFT energy (no corrections): -275.30 eV/cell
Magnetization: 0.74 μB per formula unit

a b c (Å): 4.272 13.859 21.501
angles (deg): 90.00 90.00 90.00
Space group Cmcm (No. 63)
Symmetry-distinct sites (fractional):
Pr: 0.000 0.000 0.000 (multiplicity 4)
Pr: 0.000 0.164 0.250 (multiplicity 4)
Pr: 0.000 0.273 0.580 (multiplicity 8)
Pr: 0.000 0.461 0.156 (multiplicity 8)
Bi: 0.000 0.162 0.750 (multiplicity 4)
P: 0.000 0.092 0.125 (multiplicity 8)
P: 0.000 0.363 0.041 (multiplicity 8)

9.
VASP calculation (GGA-PBE) on a geometry-optimized Pr2BiP structure.

Calculated density: 7.12 Mg/m³
Total DFT energy (no corrections): -70.98 eV/cell
Magnetization: 0.00 μB per formula unit

a b c (Å): 4.3625 4.3625 22.1507
angles (deg): 90.00 90.00 120.00
Space group R-3m (No. 166, hexagonal axes)
Symmetry-distinct sites (fractional):
Pr: 0.0000 0.0000 0.2402 (multiplicity 6)
Bi: 0.0000 0.0000 0.0000 (multiplicity 3)
P: 0.0000 0.0000 0.5000 (multiplicity 3)

10.
VASP calculation (GGA-PBE) on a geometry-optimized Pr2BiP structure.

Calculated density: 6.87 Mg/m³
Total DFT energy (no corrections): -45.97 eV/cell
Magnetization: 0.00 μB per formula unit

a b c (Å): 4.266 7.599 7.782
angles (deg): 90.00 90.00 90.00
Space group Pmmn (No. 59, origin choice 2)
Symmetry-distinct sites (fractional):
Pr: 0.250 0.007 0.221 (multiplicity 4)
Bi: 0.250 0.250 0.574 (multiplicity 2)
P: 0.250 0.750 0.920 (multiplicity 2)

11.
VASP calculation (GGA-PBE) on a geometry-optimized PrBiP2 structure.

Calculated density: 5.11 Mg/m³
Total DFT energy (no corrections): -59.56 eV/cell
Magnetization: 0.00 μB per formula unit

a b c (Å): 4.3804 4.3804 24.1642
angles (deg): 90.00 90.00 120.00
Space group R-3m (No. 166, hexagonal axes)
Symmetry-distinct sites (fractional):
Pr: 0.0000 0.0000 0.0000 (multiplicity 3)
Bi: 0.0000 0.0000 0.5000 (multiplicity 3)
P: 0.0000 0.0000 0.3926 (multiplicity 6)

12.
VASP calculation (GGA-PBE) on a geometry-optimized Pr5Bi4P structure.

Relative energy among the computed polymorphs: 0 meV/atom
Calculated density: 7.80 Mg/m³
Magnetization: 0.00 μB per formula unit

a b c (Å): 10.173 10.173 6.461
angles (deg): 90.00 90.00 90.00
Space group I4/m (No. 87)
Symmetry-distinct sites (fractional):
Pr: 0.000 0.000 0.000 (multiplicity 2)
Pr: 0.096 0.719 0.500 (multiplicity 8)
Bi: 0.093 0.697 0.000 (multiplicity 8)
P: 0.000 0.000 0.500 (multiplicity 2)

13.
VASP calculation (GGA-PBE) on a geometry-optimized Pr3BiP2 structure.

Calculated density: 6.41 Mg/m³
Total DFT energy (no corrections): -139.61 eV/cell
Magnetization: 0.00 μB per formula unit

a b c (Å): 4.872 14.319 10.309
angles (deg): 90.00 90.00 90.00
Space group Cmcm (No. 63)
Symmetry-distinct sites (fractional):
Pr: 0.000 0.095 0.250 (multiplicity 4)
Pr: 0.000 0.380 0.056 (multiplicity 8)
Bi: 0.000 0.232 0.750 (multiplicity 4)
P: 0.000 0.000 0.000 (multiplicity 4)
P: 0.000 0.489 0.750 (multiplicity 4)

14.
VASP calculation (GGA-PBE) on a geometry-optimized Pr5Bi4P structure.

Relative energy among the computed polymorphs: 8 meV/atom
Calculated density: 7.77 Mg/m³
Magnetization: 0.00 μB per formula unit

a b c (Å): 4.568 4.568 32.175
angles (deg): 90.00 90.00 90.00
Space group I4/mmm (No. 139)
Symmetry-distinct sites (fractional):
Pr: 0.000 0.000 0.000 (multiplicity 2)
Pr: 0.000 0.000 0.200 (multiplicity 4)
Pr: 0.000 0.000 0.409 (multiplicity 4)
Bi: 0.000 0.000 0.099 (multiplicity 4)
Bi: 0.000 0.000 0.303 (multiplicity 4)
P: 0.000 0.000 0.500 (multiplicity 2)

15.
VASP calculation (GGA-PBE) on a geometry-optimized PrBiP2Rh5 structure.

Calculated density: 8.88 Mg/m³
Total DFT energy (no corrections): -61.83 eV/cell
Magnetization: 0.00 μB per formula unit

a b c (Å): 4.077 4.077 10.422
angles (deg): 90.00 90.00 90.00
Space group P4/mmm (No. 123)
Symmetry-distinct sites (fractional):
Pr: 0.000 0.000 0.000 (multiplicity 1)
Bi: 0.000 0.000 0.500 (multiplicity 1)
P: 0.500 0.500 0.217 (multiplicity 2)
Rh: 0.000 0.500 0.315 (multiplicity 4)
Rh: 0.500 0.500 0.000 (multiplicity 1)

16.
VASP calculation (GGA-PBE) on a geometry-optimized Pr3BiPS structure.

Calculated density: 6.48 Mg/m³
Total DFT energy (no corrections): -72.38 eV/cell
Magnetization: 0.00 μB per formula unit

a b c (Å): 7.413 4.338 11.321
angles (deg): 90.00 102.15 90.00
Space group P2_1/m (No. 11)
Symmetry-distinct sites (fractional):
Pr: 0.038 0.250 0.149 (multiplicity 2)
Pr: 0.241 0.250 0.509 (multiplicity 2)
Pr: 0.445 0.750 0.844 (multiplicity 2)
Bi: 0.346 0.750 0.309 (multiplicity 2)
P: 0.235 0.250 0.945 (multiplicity 2)
S: 0.128 0.750 0.639 (multiplicity 2)

17.
VASP calculation (GGA-PBE) on a geometry-optimized Pr6BiSb3P2 structure.

Calculated density: 6.56 Mg/m³
Total DFT energy (no corrections): -140.82 eV/cell
Magnetization: 0.00 μB per formula unit

a b c (Å): 19.402 4.439 8.945
angles (deg): 90.00 103.30 90.00
Space group C2/m (No. 12)
Symmetry-distinct sites (fractional):
Pr: 0.009 0.000 0.259 (multiplicity 4)
Pr: 0.171 0.500 0.102 (multiplicity 4)
Pr: 0.172 0.500 0.572 (multiplicity 4)
Bi: 0.000 0.500 0.000 (multiplicity 2)
Sb: 0.000 0.500 0.500 (multiplicity 2)
Sb: 0.163 0.000 0.832 (multiplicity 4)
P: 0.169 0.000 0.337 (multiplicity 4)

18.
VASP calculation (GGA-PBE) on a geometry-optimized Pr4BiSb2P structure.

Calculated density: 6.77 Mg/m³
Total DFT energy (no corrections): -46.00 eV/cell
Magnetization: 0.00 μB per formula unit

a b c (Å): 7.776 4.481 7.807
angles (deg): 90.00 109.32 90.00
Space group P2/m (No. 10)
Symmetry-distinct sites (fractional):
Pr: 0.237 0.000 0.233 (multiplicity 2)
Pr: 0.245 0.500 0.762 (multiplicity 2)
Bi: 0.000 0.000 0.500 (multiplicity 1)
Sb: 0.500 0.000 0.000 (multiplicity 1)
Sb: 0.500 0.500 0.500 (multiplicity 1)
P: 0.000 0.500 0.000 (multiplicity 1)

19.
VASP calculation (GGA-PBE) on a geometry-optimized Pr2Sc2Bi2P structure.

Calculated density: 6.86 Mg/m³
Total DFT energy (no corrections): -83.97 eV/cell
Magnetization: 0.00 μB per formula unit

a b c (Å): 4.874 4.874 16.721
angles (deg): 90.00 90.00 90.00
Space group I4/mmm (No. 139)
Symmetry-distinct sites (fractional):
Pr: 0.000 0.000 0.169 (multiplicity 4)
Sc: 0.000 0.500 0.000 (multiplicity 4)
Bi: 0.000 0.000 0.368 (multiplicity 4)
P: 0.000 0.000 0.000 (multiplicity 2)

20.
VASP calculation (GGA-PBE) on a geometry-optimized Pr4Bi2PSe structure.

Calculated density: 7.33 Mg/m³
Total DFT energy (no corrections): -46.28 eV/cell
Magnetization: 0.00 μB per formula unit

a b c (Å): 7.659 4.418 7.734
angles (deg): 90.00 109.16 90.00
Space group P2/m (No. 10)
Symmetry-distinct sites (fractional):
Pr: 0.234 0.000 0.225 (multiplicity 2)
Pr: 0.248 0.500 0.771 (multiplicity 2)
Bi: 0.000 0.000 0.500 (multiplicity 1)
Bi: 0.500 0.500 0.500 (multiplicity 1)
P: 0.000 0.500 0.000 (multiplicity 1)
Se: 0.500 0.000 0.000 (multiplicity 1)

21.
VASP calculation (GGA-PBE) on a geometry-optimized Pr4BiPSe2 structure.

Calculated density: 6.83 Mg/m³
Total DFT energy (no corrections): -47.68 eV/cell
Magnetization: 0.00 μB per formula unit

a b c (Å): 7.486 4.338 7.635
angles (deg): 90.00 109.39 90.00
Space group P2/m (No. 10)
Symmetry-distinct sites (fractional):
Pr: 0.241 0.000 0.230 (multiplicity 2)
Pr: 0.253 0.500 0.772 (multiplicity 2)
Bi: 0.000 0.000 0.500 (multiplicity 1)
P: 0.000 0.500 0.000 (multiplicity 1)
Se: 0.500 0.000 0.000 (multiplicity 1)
Se: 0.500 0.500 0.500 (multiplicity 1)

22.
VASP calculation (GGA-PBE) on a geometry-optimized Pr6BiP2Se3 structure.

Calculated density: 6.57 Mg/m³
Total DFT energy (no corrections): -146.46 eV/cell
Magnetization: 0.00 μB per formula unit

a b c (Å): 18.832 4.292 8.691
angles (deg): 90.00 103.23 90.00
Space group C2/m (No. 12)
Symmetry-distinct sites (fractional):
Pr: 0.009 0.000 0.268 (multiplicity 4)
Pr: 0.172 0.500 0.574 (multiplicity 4)
Pr: 0.174 0.500 0.107 (multiplicity 4)
Bi: 0.000 0.500 0.000 (multiplicity 2)
P: 0.168 0.000 0.336 (multiplicity 4)
Se: 0.000 0.500 0.500 (multiplicity 2)
Se: 0.163 0.000 0.834 (multiplicity 4)

23.
VASP calculation (GGA-PBE) on a geometry-optimized Pr4BiTe2P structure.

Calculated density: 6.87 Mg/m³
Total DFT energy (no corrections): -45.61 eV/cell
Magnetization: 0.00 μB per formula unit

a b c (Å): 7.804 4.439 7.811
angles (deg): 90.00 109.00 90.00
Space group P2/m (No. 10)
Symmetry-distinct sites (fractional):
Pr: 0.223 0.000 0.222 (multiplicity 2)
Pr: 0.234 0.500 0.767 (multiplicity 2)
Bi: 0.500 0.000 0.000 (multiplicity 1)
Te: 0.000 0.000 0.500 (multiplicity 1)
Te: 0.500 0.500 0.500 (multiplicity 1)
P: 0.000 0.500 0.000 (multiplicity 1)